No. 1
Here is ScTaRh3 after structural relaxation from Alexandria via LeMat-Bulk. Energies are from PBE.

```
ScTaRh3
1.0
4.711 0.000 0.000
0.000 4.711 0.000
0.000 0.000 4.711
Sc Ta Rh
1 1 3
direct
0.000 0.000 0.000
0.500 0.500 0.500
0.000 0.500 0.500
0.500 0.000 0.500
0.500 0.500 0.000
```

Computed properties:
- Formation enthalpy at 0 K: 0.323 eV per atom


No. 2
Here is ScTa2Rh2 after structural relaxation from Alexandria via LeMat-Bulk. Energies are from PBE.

```
ScTa2Rh2
1.0
7.589 0.000 0.000
0.000 7.589 0.000
0.000 0.000 3.058
Sc Ta Rh
2 4 4
direct
0.000 0.000 0.000
0.500 0.500 0.000
0.168 0.332 0.500
0.332 0.832 0.500
0.668 0.168 0.500
0.832 0.668 0.500
0.130 0.630 0.000
0.370 0.130 0.000
0.630 0.870 0.000
0.870 0.370 0.000
```

Computed properties:
- Formation enthalpy at 0 K: -0.365 eV per atom


No. 3
Here is ScTaRh2 after structural relaxation from Alexandria via LeMat-Bulk. Energies are from PBE.

```
ScTaRh2
1.0
1.546 0.892 8.291
-1.546 0.892 8.291
0.000 -1.785 8.291
Sc Ta Rh
1 1 2
direct
0.000 0.000 0.000
0.500 0.500 0.500
0.247 0.247 0.247
0.753 0.753 0.753
```

Computed properties:
- Formation enthalpy at 0 K: -0.370 eV per atom


No. 4
Here is ScTaRh2 after structural relaxation from Alexandria via LeMat-Bulk. Energies are from PBE.

```
ScTaRh2
1.0
4.475 0.000 0.000
0.000 1.525 4.932
0.000 -1.525 4.932
Sc Ta Rh
1 1 2
direct
0.000 0.000 0.000
0.500 0.290 0.290
0.000 0.738 0.738
0.500 0.551 0.551
```

Computed properties:
- Formation enthalpy at 0 K: -0.653 eV per atom


No. 5
Here is ScTaRh after structural relaxation from Alexandria via LeMat-Bulk. Energies are from PBE.

```
ScTaRh
1.0
-1.581 1.581 5.286
1.581 -1.581 5.286
1.581 1.581 -5.286
Sc Ta Rh
1 1 1
direct
0.000 0.000 0.000
0.314 0.314 0.000
0.666 0.666 0.000
```

Computed properties:
- Formation enthalpy at 0 K: -0.437 eV per atom


No. 6
Here is ScTaRh2 after structural relaxation from Alexandria via LeMat-Bulk. Energies are from PBE.

```
ScTaRh2
1.0
2.945 0.000 0.000
0.000 4.378 0.000
0.000 0.000 5.289
Sc Ta Rh
1 1 2
direct
0.000 0.000 0.000
0.500 0.500 0.350
0.000 0.000 0.497
0.500 0.500 0.864
```

Computed properties:
- Formation enthalpy at 0 K: -0.487 eV per atom


Q: Which value of formation enthalpy at 0 K does entry 1 give?
A: 0.323 eV per atom


Q: Which formula does entry 6 have?
A: ScTaRh2